[1]
# AcLaGdMg, relaxed, DFT PBE
# - formation energy from the elements (meV/atom) = 24.5
# - magnetization (μB per cell) = 7.53
# - E (eV per formula unit) = -24.6
data_AcLaGdMg
_chemical_formula_sum 'Ac1 La1 Gd1 Mg1'
_space_group_name_H-M_alt 'P 1'
_space_group_IT_number 1
_cell_length_a 5.8073
_cell_length_b 5.8073
_cell_length_c 5.8073
_cell_angle_alpha 60.00
_cell_angle_beta 60.00
_cell_angle_gamma 60.00
loop_
_space_group_symop_operation_xyz
'x,y,z'
loop_
_atom_site_label
_atom_site_fract_x
_atom_site_fract_y
_atom_site_fract_z
Mg1 0.0000 0.0000 0.0000
La1 0.7500 0.7500 0.7500
Ac1 0.2500 0.2500 0.2500
Gd1 0.5000 0.5000 0.5000


[2]
# AcLaNdGd, relaxed, DFT PBE
# - formation energy from the elements (meV/atom) = 123.7
# - magnetization (μB per cell) = 8.98
# - E (eV per formula unit) = -27.4
data_AcLaNdGd
_chemical_formula_sum 'Ac1 La1 Nd1 Gd1'
_space_group_name_H-M_alt 'P 1'
_space_group_IT_number 1
_cell_length_a 5.9720
_cell_length_b 5.9720
_cell_length_c 5.9720
_cell_angle_alpha 60.00
_cell_angle_beta 60.00
_cell_angle_gamma 60.00
loop_
_space_group_symop_operation_xyz
'x,y,z'
loop_
_atom_site_label
_atom_site_fract_x
_atom_site_fract_y
_atom_site_fract_z
Ac1 0.0000 0.0000 0.0000
Gd1 0.5000 0.5000 0.5000
Nd1 0.7500 0.7500 0.7500
La1 0.2500 0.2500 0.2500


[3]
# AcLaPmGd, relaxed, DFT PBE
# - formation energy from the elements (meV/atom) = 130.0
# - magnetization (μB per cell) = 8.92
# - E (eV per formula unit) = -27.3
data_AcLaPmGd
_chemical_formula_sum 'Ac1 La1 Pm1 Gd1'
_space_group_name_H-M_alt 'P 1'
_space_group_IT_number 1
_cell_length_a 5.9595
_cell_length_b 5.9595
_cell_length_c 5.9595
_cell_angle_alpha 60.00
_cell_angle_beta 60.00
_cell_angle_gamma 60.00
loop_
_space_group_symop_operation_xyz
'x,y,z'
loop_
_atom_site_label
_atom_site_fract_x
_atom_site_fract_y
_atom_site_fract_z
Gd1 0.7500 0.7500 0.7500
La1 0.2500 0.2500 0.2500
Ac1 0.5000 0.5000 0.5000
Pm1 0.0000 0.0000 0.0000


[4]
# AcLaPrGd, relaxed, DFT PBE
# - formation energy from the elements (meV/atom) = 108.0
# - magnetization (μB per cell) = 8.09
# - E (eV per formula unit) = -27.5
data_AcLaPrGd
_chemical_formula_sum 'Ac1 La1 Pr1 Gd1'
_space_group_name_H-M_alt 'P 1'
_space_group_IT_number 1
_cell_length_a 5.9801
_cell_length_b 5.9801
_cell_length_c 5.9801
_cell_angle_alpha 60.00
_cell_angle_beta 60.00
_cell_angle_gamma 60.00
loop_
_space_group_symop_operation_xyz
'x,y,z'
loop_
_atom_site_label
_atom_site_fract_x
_atom_site_fract_y
_atom_site_fract_z
Pr1 0.5000 0.5000 0.5000
Gd1 0.0000 0.0000 0.0000
Ac1 0.2500 0.2500 0.2500
La1 0.7500 0.7500 0.7500


[5]
# AcLaGdSb, relaxed, DFT PBE
# - magnetization (μB per cell) = 7.17
# - ΔE_f (raw) (eV/atom) = -0.29
# - E (eV per formula unit) = -28.4
data_AcLaGdSb
_chemical_formula_sum 'Ac1 La1 Gd1 Sb1'
_space_group_name_H-M_alt 'P 1'
_space_group_IT_number 1
_cell_length_a 5.6663
_cell_length_b 5.6663
_cell_length_c 5.6663
_cell_angle_alpha 60.00
_cell_angle_beta 60.00
_cell_angle_gamma 60.00
loop_
_space_group_symop_operation_xyz
'x,y,z'
loop_
_atom_site_label
_atom_site_fract_x
_atom_site_fract_y
_atom_site_fract_z
Sb1 0.0000 0.0000 0.0000
La1 0.7500 0.7500 0.7500
Gd1 0.2500 0.2500 0.2500
Ac1 0.5000 0.5000 0.5000


[6]
# AcLaGdSc, relaxed, DFT PBE
# - formation energy from the elements (meV/atom) = 180.6
# - magnetization (μB per cell) = 8.99
# - E (eV per formula unit) = -28.7
data_AcLaGdSc
_chemical_formula_sum 'Ac1 La1 Gd1 Sc1'
_space_group_name_H-M_alt 'P 1'
_space_group_IT_number 1
_cell_length_a 5.8179
_cell_length_b 5.8179
_cell_length_c 5.8179
_cell_angle_alpha 60.00
_cell_angle_beta 60.00
_cell_angle_gamma 60.00
loop_
_space_group_symop_operation_xyz
'x,y,z'
loop_
_atom_site_label
_atom_site_fract_x
_atom_site_fract_y
_atom_site_fract_z
Gd1 0.0000 0.0000 0.0000
Sc1 0.7500 0.7500 0.7500
Ac1 0.2500 0.2500 0.2500
La1 0.5000 0.5000 0.5000


[7]
# AcLaGdSn, relaxed, DFT PBE
# - formation energy from the elements (meV/atom) = -225.2
# - magnetization (μB per cell) = 7.93
# - E (eV per formula unit) = -28.0
data_AcLaGdSn
_chemical_formula_sum 'Ac1 La1 Gd1 Sn1'
_space_group_name_H-M_alt 'P 1'
_space_group_IT_number 1
_cell_length_a 5.6888
_cell_length_b 5.6888
_cell_length_c 5.6888
_cell_angle_alpha 60.00
_cell_angle_beta 60.00
_cell_angle_gamma 60.00
loop_
_space_group_symop_operation_xyz
'x,y,z'
loop_
_atom_site_label
_atom_site_fract_x
_atom_site_fract_y
_atom_site_fract_z
Ac1 0.5000 0.5000 0.5000
La1 0.7500 0.7500 0.7500
Sn1 0.0000 0.0000 0.0000
Gd1 0.2500 0.2500 0.2500


[8]
# AcLaTbGd, relaxed, DFT PBE
# - formation energy from the elements (meV/atom) = 98.0
# - magnetization (μB per cell) = 7.78
# - E (eV per formula unit) = -27.4
data_AcLaTbGd
_chemical_formula_sum 'Ac1 La1 Tb1 Gd1'
_space_group_name_H-M_alt 'P 1'
_space_group_IT_number 1
_cell_length_a 5.9187
_cell_length_b 5.9187
_cell_length_c 5.9187
_cell_angle_alpha 60.00
_cell_angle_beta 60.00
_cell_angle_gamma 60.00
loop_
_space_group_symop_operation_xyz
'x,y,z'
loop_
_atom_site_label
_atom_site_fract_x
_atom_site_fract_y
_atom_site_fract_z
Ac1 0.7500 0.7500 0.7500
Tb1 0.0000 0.0000 0.0000
La1 0.2500 0.2500 0.2500
Gd1 0.5000 0.5000 0.5000


[9]
# AcLaGdTh, relaxed, DFT PBE
# - formation energy from the elements (meV/atom) = 217.2
# - magnetization (μB per cell) = 8.11
# - E (eV per formula unit) = -29.7
data_AcLaGdTh
_chemical_formula_sum 'Ac1 La1 Gd1 Th1'
_space_group_name_H-M_alt 'P 1'
_space_group_IT_number 1
_cell_length_a 5.9106
_cell_length_b 5.9106
_cell_length_c 5.9106
_cell_angle_alpha 60.00
_cell_angle_beta 60.00
_cell_angle_gamma 60.00
loop_
_space_group_symop_operation_xyz
'x,y,z'
loop_
_atom_site_label
_atom_site_fract_x
_atom_site_fract_y
_atom_site_fract_z
Gd1 0.5000 0.5000 0.5000
Ac1 0.7500 0.7500 0.7500
La1 0.2500 0.2500 0.2500
Th1 0.0000 0.0000 0.0000


[10]
# Li4AcGd, relaxed, DFT PBE
# - formation energy from the elements (meV/atom) = 94.2
# - magnetization (μB per cell) = 7.40
# - E (eV per formula unit) = -25.3
data_Li4AcGd
_chemical_formula_sum 'Li4 Ac1 Gd1'
_space_group_name_H-M_alt 'P 1'
_space_group_IT_number 1
_cell_length_a 6.0850
_cell_length_b 6.0850
_cell_length_c 6.0850
_cell_angle_alpha 60.00
_cell_angle_beta 60.00
_cell_angle_gamma 60.00
loop_
_space_group_symop_operation_xyz
'x,y,z'
loop_
_atom_site_label
_atom_site_fract_x
_atom_site_fract_y
_atom_site_fract_z
Li1 0.6234 0.6234 0.6234
Ac1 0.0000 0.0000 0.0000
Li2 0.1299 0.6234 0.6234
Li3 0.6234 0.1299 0.6234
Li4 0.6234 0.6234 0.1299
Gd1 0.2500 0.2500 0.2500


[11]
# LiAcGdLu, relaxed, DFT PBE
# - formation energy from the elements (meV/atom) = 146.0
# - magnetization (μB per cell) = 7.41
# - E (eV per formula unit) = -24.0
data_LiAcGdLu
_chemical_formula_sum 'Li1 Ac1 Gd1 Lu1'
_space_group_name_H-M_alt 'P 1'
_space_group_IT_number 1
_cell_length_a 5.6577
_cell_length_b 5.6577
_cell_length_c 5.6577
_cell_angle_alpha 60.00
_cell_angle_beta 60.00
_cell_angle_gamma 60.00
loop_
_space_group_symop_operation_xyz
'x,y,z'
loop_
_atom_site_label
_atom_site_fract_x
_atom_site_fract_y
_atom_site_fract_z
Gd1 0.7500 0.7500 0.7500
Lu1 0.5000 0.5000 0.5000
Ac1 0.2500 0.2500 0.2500
Li1 0.0000 0.0000 0.0000


[12]
# LiAcGdMg, relaxed, DFT PBE
# - formation energy from the elements (meV/atom) = 27.7
# - magnetization (μB per cell) = 7.99
# - E (eV per formula unit) = -21.6
data_LiAcGdMg
_chemical_formula_sum 'Li1 Ac1 Gd1 Mg1'
_space_group_name_H-M_alt 'P 1'
_space_group_IT_number 1
_cell_length_a 5.5938
_cell_length_b 5.5938
_cell_length_c 5.5938
_cell_angle_alpha 60.00
_cell_angle_beta 60.00
_cell_angle_gamma 60.00
loop_
_space_group_symop_operation_xyz
'x,y,z'
loop_
_atom_site_label
_atom_site_fract_x
_atom_site_fract_y
_atom_site_fract_z
Gd1 0.0000 0.0000 0.0000
Ac1 0.5000 0.5000 0.5000
Li1 0.2500 0.2500 0.2500
Mg1 0.7500 0.7500 0.7500


[13]
# LiAcGdNi, relaxed, DFT PBE
# - formation energy from the elements (meV/atom) = -20.5
# - magnetization (μB per cell) = 7.06
# - E (eV per formula unit) = -26.0
data_LiAcGdNi
_chemical_formula_sum 'Li1 Ac1 Gd1 Ni1'
_space_group_name_H-M_alt 'P 1'
_space_group_IT_number 1
_cell_length_a 5.1854
_cell_length_b 5.1854
_cell_length_c 5.1854
_cell_angle_alpha 60.00
_cell_angle_beta 60.00
_cell_angle_gamma 60.00
loop_
_space_group_symop_operation_xyz
'x,y,z'
loop_
_atom_site_label
_atom_site_fract_x
_atom_site_fract_y
_atom_site_fract_z
Ac1 0.2500 0.2500 0.2500
Li1 0.0000 0.0000 0.0000
Gd1 0.7500 0.7500 0.7500
Ni1 0.5000 0.5000 0.5000


[14]
# LiAcGdOs, relaxed, DFT PBE
# - formation energy from the elements (meV/atom) = -31.4
# - magnetization (μB per cell) = 6.93
# - E (eV per formula unit) = -31.5
data_LiAcGdOs
_chemical_formula_sum 'Li1 Ac1 Gd1 Os1'
_space_group_name_H-M_alt 'P 1'
_space_group_IT_number 1
_cell_length_a 5.1337
_cell_length_b 5.1337
_cell_length_c 5.1337
_cell_angle_alpha 60.00
_cell_angle_beta 60.00
_cell_angle_gamma 60.00
loop_
_space_group_symop_operation_xyz
'x,y,z'
loop_
_atom_site_label
_atom_site_fract_x
_atom_site_fract_y
_atom_site_fract_z
Ac1 0.2500 0.2500 0.2500
Gd1 0.7500 0.7500 0.7500
Li1 0.0000 0.0000 0.0000
Os1 0.5000 0.5000 0.5000


[15]
# LiAcGdPd, relaxed, DFT PBE
# - formation energy from the elements (meV/atom) = -307.1
# - magnetization (μB per cell) = 7.11
# - E (eV per formula unit) = -26.5
data_LiAcGdPd
_chemical_formula_sum 'Li1 Ac1 Gd1 Pd1'
_space_group_name_H-M_alt 'P 1'
_space_group_IT_number 1
_cell_length_a 5.2886
_cell_length_b 5.2886
_cell_length_c 5.2886
_cell_angle_alpha 60.00
_cell_angle_beta 60.00
_cell_angle_gamma 60.00
loop_
_space_group_symop_operation_xyz
'x,y,z'
loop_
_atom_site_label
_atom_site_fract_x
_atom_site_fract_y
_atom_site_fract_z
Ac1 0.2500 0.2500 0.2500
Gd1 0.7500 0.7500 0.7500
Pd1 0.5000 0.5000 0.5000
Li1 0.0000 0.0000 0.0000


[16]
# LiAcPrGd, relaxed, DFT PBE
# - formation energy from the elements (meV/atom) = 221.7
# - magnetization (μB per cell) = 7.62
# - E (eV per formula unit) = -24.0
data_LiAcPrGd
_chemical_formula_sum 'Li1 Ac1 Pr1 Gd1'
_space_group_name_H-M_alt 'P 1'
_space_group_IT_number 1
_cell_length_a 5.7896
_cell_length_b 5.7896
_cell_length_c 5.7896
_cell_angle_alpha 60.00
_cell_angle_beta 60.00
_cell_angle_gamma 60.00
loop_
_space_group_symop_operation_xyz
'x,y,z'
loop_
_atom_site_label
_atom_site_fract_x
_atom_site_fract_y
_atom_site_fract_z
Gd1 0.7500 0.7500 0.7500
Li1 0.0000 0.0000 0.0000
Pr1 0.2500 0.2500 0.2500
Ac1 0.5000 0.5000 0.5000


[17]
# LiAcGdPt, relaxed, DFT PBE
# - formation energy from the elements (meV/atom) = -506.1
# - magnetization (μB per cell) = 7.07
# - E (eV per formula unit) = -28.2
data_LiAcGdPt
_chemical_formula_sum 'Li1 Ac1 Gd1 Pt1'
_space_group_name_H-M_alt 'P 1'
_space_group_IT_number 1
_cell_length_a 5.2466
_cell_length_b 5.2466
_cell_length_c 5.2466
_cell_angle_alpha 60.00
_cell_angle_beta 60.00
_cell_angle_gamma 60.00
loop_
_space_group_symop_operation_xyz
'x,y,z'
loop_
_atom_site_label
_atom_site_fract_x
_atom_site_fract_y
_atom_site_fract_z
Gd1 0.0000 0.0000 0.0000
Li1 0.2500 0.2500 0.2500
Ac1 0.5000 0.5000 0.5000
Pt1 0.7500 0.7500 0.7500


[18]
# LiAcGdSc, relaxed, DFT PBE
# - formation energy from the elements (meV/atom) = 156.7
# - magnetization (μB per cell) = 7.27
# - E (eV per formula unit) = -25.8
data_LiAcGdSc
_chemical_formula_sum 'Li1 Ac1 Gd1 Sc1'
_space_group_name_H-M_alt 'P 1'
_space_group_IT_number 1
_cell_length_a 5.5751
_cell_length_b 5.5751
_cell_length_c 5.5751
_cell_angle_alpha 60.00
_cell_angle_beta 60.00
_cell_angle_gamma 60.00
loop_
_space_group_symop_operation_xyz
'x,y,z'
loop_
_atom_site_label
_atom_site_fract_x
_atom_site_fract_y
_atom_site_fract_z
Gd1 0.7500 0.7500 0.7500
Li1 0.5000 0.5000 0.5000
Sc1 0.0000 0.0000 0.0000
Ac1 0.2500 0.2500 0.2500


[19]
# LiAcTbGd, relaxed, DFT PBE
# - formation energy from the elements (meV/atom) = 245.8
# - magnetization (μB per cell) = 7.47
# - E (eV per formula unit) = -23.8
data_LiAcTbGd
_chemical_formula_sum 'Li1 Ac1 Tb1 Gd1'
_space_group_name_H-M_alt 'P 1'
_space_group_IT_number 1
_cell_length_a 5.7190
_cell_length_b 5.7190
_cell_length_c 5.7190
_cell_angle_alpha 60.00
_cell_angle_beta 60.00
_cell_angle_gamma 60.00
loop_
_space_group_symop_operation_xyz
'x,y,z'
loop_
_atom_site_label
_atom_site_fract_x
_atom_site_fract_y
_atom_site_fract_z
Tb1 0.0000 0.0000 0.0000
Gd1 0.5000 0.5000 0.5000
Li1 0.2500 0.2500 0.2500
Ac1 0.7500 0.7500 0.7500


[20]
# LiAcGdTc, relaxed, DFT PBE
# - formation energy from the elements (meV/atom) = 106.5
# - magnetization (μB per cell) = 7.18
# - E (eV per formula unit) = -30.0
data_LiAcGdTc
_chemical_formula_sum 'Li1 Ac1 Gd1 Tc1'
_space_group_name_H-M_alt 'P 1'
_space_group_IT_number 1
_cell_length_a 5.1548
_cell_length_b 5.1548
_cell_length_c 5.1548
_cell_angle_alpha 60.00
_cell_angle_beta 60.00
_cell_angle_gamma 60.00
loop_
_space_group_symop_operation_xyz
'x,y,z'
loop_
_atom_site_label
_atom_site_fract_x
_atom_site_fract_y
_atom_site_fract_z
Li1 0.0000 0.0000 0.0000
Ac1 0.2500 0.2500 0.2500
Gd1 0.7500 0.7500 0.7500
Tc1 0.5000 0.5000 0.5000


Number 1: N(E_F) 1.427 states/eV/atom. Number 2: N(E_F) 2.015 states/eV/atom. Number 3: N(E_F) 1.991 states/eV/atom. Number 4: N(E_F) 2.152 states/eV/atom. Number 5: N(E_F) 0.801 states/eV/atom. Number 6: N(E_F) 2.189 states/eV/atom. Number 7: N(E_F) 1.301 states/eV/atom. Number 8: N(E_F) 2.003 states/eV/atom. Number 9: N(E_F) 2.402 states/eV/atom. Number 10: N(E_F) 1.249 states/eV/atom. Number 11: N(E_F) 1.036 states/eV/atom. Number 12: N(E_F) 1.382 states/eV/atom. Number 13: N(E_F) 0.732 states/eV/atom. Number 14: N(E_F) 0.687 states/eV/atom. Number 15: N(E_F) 0.846 states/eV/atom. Number 16: N(E_F) 1.530 states/eV/atom. Number 17: N(E_F) 0.908 states/eV/atom. Number 18: N(E_F) 1.221 states/eV/atom. Number 19: N(E_F) 1.393 states/eV/atom. Number 20: N(E_F) 0.979 states/eV/atom.